<one>
MnAu2O2: relaxed, PBE+U.

Geometry as POSCAR:
```
MnAu2O2
1.0
-0.151 -1.113 -3.537
-0.717 -3.464 1.121
-5.723 -1.228 -1.316
O Mn Au
2 1 2
Direct
0.250 0.750 0.500
0.750 0.250 0.500
0.000 0.000 0.000
0.377 0.377 0.246
0.623 0.623 0.754
```

<two>
MnAu2O2: relaxed, PBE+U.

Geometry as POSCAR:
```
MnAu2O2
1.0
-2.028 3.770 5.390
4.556 -3.263 3.997
2.165 2.166 -0.700
Au O Mn
4 4 2
Direct
0.634 0.134 0.000
0.134 0.366 0.000
0.866 0.634 0.000
0.366 0.866 0.000
0.307 0.193 0.500
0.693 0.807 0.500
0.193 0.693 0.500
0.807 0.307 0.500
0.000 0.000 0.000
0.500 0.500 0.000
```

Most stable structure - <one>; separation to the second - 68 meV per atom.

<one>
MnAu3O: relaxed, PBE+U.

Geometry as POSCAR:
```
MnAu3O
1.0
4.967 0.000 0.000
0.000 4.967 0.000
0.000 0.000 4.967
O Au Mn
1 3 1
Direct
0.500 0.500 0.500
0.000 0.500 0.000
0.500 0.000 0.000
0.000 0.000 0.500
0.000 0.000 0.000
```

<two>
MnAu3O: relaxed, PBE+U.

Geometry as POSCAR:
```
MnAu3O
1.0
4.528 0.000 0.000
0.000 4.528 0.000
0.000 0.000 4.528
Au Mn O
3 1 1
Direct
0.000 0.000 0.500
0.500 0.000 0.000
0.000 0.500 0.000
0.500 0.500 0.500
0.000 0.000 0.000
```

Most stable structure - <two>; separation to the second - 897 meV per atom.

<one>
MnPAuO2: relaxed, PBE+U.

Geometry as POSCAR:
```
MnPAuO2
1.0
4.007 0.000 0.000
0.000 4.007 0.000
0.000 0.000 5.041
O P Au Mn
2 1 1 1
Direct
0.000 0.500 0.000
0.500 0.000 0.000
0.000 0.000 0.500
0.000 0.000 0.000
0.500 0.500 0.500
```

<two>
MnPAuO2: relaxed, PBE+U.

Geometry as POSCAR:
```
MnPAuO2
1.0
-2.375 2.721 0.563
-1.083 -1.589 3.108
3.919 2.838 2.817
O Au Mn P
2 1 1 1
Direct
0.000 0.500 0.000
0.500 0.000 0.000
0.500 0.500 0.500
0.000 0.000 0.000
0.000 0.000 0.500
```

Most stable structure - <two>; separation to the second - 636 meV per atom.